This record from the Alexandria database describes crystalline La2SmGe2Br2 at its relaxed geometry. The functional is GGA-PBE.

Theoretical density: 5.2 g cm⁻³
Uncorrected formation energy: -6.982 eV/f.u.

a = 8.655 Å, b = 8.655 Å, c = 8.655 Å
α = 142.90°, β = 142.90°, γ = 53.47°
Positions (direct):
1 La 0.109 0.109 0.000
2 La 0.891 0.891 0.000
3 Sm 0.500 0.500 0.000
4 Ge 0.000 0.500 0.500
5 Ge 0.500 0.000 0.500
6 Br 0.300 0.300 0.000
7 Br 0.700 0.700 0.000